# 1
Below is an optimized crystal structure of Ba2SrMnO4, with properties calculated at the PBE with a Hubbard U level.

Geometry as extended XYZ:
```
16
Lattice="5.217 -5.153 0.000 5.217 5.153 0.000 -5.095 0.000 5.426" Properties=species:S:1:pos:R:3 pbc="T T T"
Ba 0.000 0.000 0.000
Ba -2.547 0.000 2.713
Ba 2.608 2.576 0.000
Ba 0.061 -2.576 2.713
Sr 5.217 0.000 0.000
Sr 2.670 0.000 2.713
Mn 0.061 2.576 2.713
Mn 2.608 -2.576 0.000
O 0.122 0.250 2.771
O 2.508 2.514 2.678
O 5.378 2.514 0.035
O 2.670 -0.250 0.058
O 2.669 0.250 5.369
O -0.039 -2.514 5.391
O 2.831 -2.514 2.748
O 5.217 -0.250 2.656
```

Values from the calculation:
* magnetization: 5.0 μB per formula unit
* calculated volume: 291.7 Å³/cell
* DFT total energy: -100.4 eV for the cell shown
* SG: C2/c (15)
* theoretical density: 5.48 g cm⁻³


# 2
Below is an optimized crystal structure of BaSrMn2O5, with properties calculated at the PBE with a Hubbard U level.

Geometry as extended XYZ:
```
9
Lattice="3.987 0.000 0.000 0.000 3.987 0.000 0.000 0.000 7.942" Properties=species:S:1:pos:R:3 pbc="T T T"
Ba 0.000 0.000 0.000
Sr 0.000 0.000 3.971
Mn 1.994 1.994 1.999
Mn 1.994 1.994 5.943
O 0.000 1.994 2.290
O 0.000 1.994 5.652
O 1.994 0.000 2.290
O 1.994 0.000 5.652
O 1.994 1.994 0.000
```

Values from the calculation:
* magnetization: 8.0 μB per formula unit
* calculated volume: 126.3 Å³/cell
* DFT total energy: -62.5 eV for the cell shown
* SG: P4/mmm (123)
* theoretical density: 5.46 g cm⁻³


# 3
Below is an optimized crystal structure of BaSrMn2O6, with properties calculated at the PBE with a Hubbard U level.

Geometry as extended XYZ:
```
20
Lattice="5.657 0.000 0.000 -2.829 4.900 0.000 0.000 0.000 9.300" Properties=species:S:1:pos:R:3 pbc="T T T"
Ba 0.000 0.000 0.000
Ba 0.000 0.000 4.650
Sr 0.000 3.266 2.325
Sr 2.829 1.633 6.975
Mn 0.000 3.266 5.691
Mn 0.000 3.266 8.259
Mn 2.829 1.633 1.041
Mn 2.829 1.633 3.609
O -1.414 2.450 0.000
O -1.414 2.450 4.650
O 0.000 1.812 6.975
O -1.259 3.993 6.975
O 1.570 0.906 2.325
O 2.829 0.000 0.000
O 2.829 0.000 4.650
O 1.414 2.450 0.000
O 1.414 2.450 4.650
O 1.259 3.993 6.975
O 4.088 0.906 2.325
O 2.829 3.087 2.325
```

Values from the calculation:
* magnetization: 6.0 μB per formula unit
* calculated volume: 257.8 Å³/cell
* DFT total energy: -137.6 eV for the cell shown
* SG: P6_3/mmc (194)
* theoretical density: 5.55 g cm⁻³


# 4
Below is an optimized crystal structure of BaSr2MnO4, with properties calculated at the PBE with a Hubbard U level.

Geometry as extended XYZ:
```
16
Lattice="1.833 -6.171 0.000 1.833 6.171 0.000 0.000 0.000 12.565" Properties=species:S:1:pos:R:3 pbc="T T T"
Ba 1.833 4.819 9.424
Ba 1.833 -4.819 3.141
Sr 1.833 1.603 6.819
Sr 1.833 1.603 12.029
Sr 1.833 -1.603 0.536
Sr 1.833 -1.603 5.746
Mn 1.833 4.204 3.141
Mn 1.833 -4.204 9.424
O 0.000 0.000 0.000
O 0.000 0.000 6.283
O 1.833 2.906 1.569
O 1.833 2.906 4.714
O 1.833 0.869 9.424
O 1.833 -0.869 3.141
O 1.833 -2.906 7.851
O 1.833 -2.906 10.997
```

Values from the calculation:
* magnetization: 5.0 μB per formula unit
* calculated volume: 284.2 Å³/cell
* DFT total energy: -103.1 eV for the cell shown
* SG: Cmcm (63)
* theoretical density: 5.04 g cm⁻³


# 5
Below is an optimized crystal structure of Ba3Sr5Ti7MnO24, with properties calculated at the PBE with a Hubbard U level.

Geometry as extended XYZ:
```
40
Lattice="5.621 -5.611 0.000 5.621 5.611 0.000 -0.034 0.000 8.018" Properties=species:S:1:pos:R:3 pbc="T T T"
Ba 0.000 0.000 0.000
Ba 2.814 2.827 8.007
Ba 2.814 -2.827 8.007
Sr 0.033 0.000 3.938
Sr 2.861 2.804 3.952
Sr 5.653 0.000 3.967
Sr 2.861 -2.804 3.952
Sr 5.672 0.000 7.954
Ti 2.878 0.000 5.912
Ti 5.679 2.796 5.904
Ti 2.905 0.000 1.961
Ti 5.695 2.788 1.967
Ti 5.695 -2.788 1.967
Ti 8.474 0.000 5.882
Ti 5.679 -2.796 5.904
Mn 8.447 0.000 2.011
O 2.764 0.000 4.058
O 6.971 4.191 6.004
O 4.178 1.385 6.008
O 5.587 2.788 4.048
O 4.202 1.389 2.114
O 7.001 4.187 2.099
O 2.845 0.000 0.081
O 5.618 2.751 0.077
O 4.178 -1.385 6.008
O 4.202 -1.389 2.114
O 6.958 1.377 6.008
O 7.004 1.377 2.092
O 6.958 -1.377 6.008
O 5.618 -2.751 0.077
O 8.375 0.000 0.108
O 7.004 -1.377 2.092
O 5.587 -2.788 4.048
O 8.381 0.000 4.020
O 9.772 1.401 5.978
O 9.792 1.382 2.106
O 9.792 -1.382 2.106
O 6.971 -4.191 6.004
O 9.772 -1.401 5.978
O 7.001 -4.187 2.099
```

Values from the calculation:
* magnetization: 3.0 μB per formula unit
* calculated volume: 505.8 Å³/cell
* DFT total energy: -314.8 eV for the cell shown
* SG: Cm (8)
* theoretical density: 5.33 g cm⁻³


# 6
Below is an optimized crystal structure of Ba2Sr6Ti7MnO24, with properties calculated at the PBE with a Hubbard U level.

Geometry as extended XYZ:
```
40
Lattice="5.583 -5.585 0.000 5.583 5.585 0.000 0.000 0.000 8.003" Properties=species:S:1:pos:R:3 pbc="T T T"
Ba 2.770 0.000 0.000
Ba 8.395 0.000 0.000
Sr 5.583 2.830 0.037
Sr 2.792 0.000 4.050
Sr 5.583 2.791 4.049
Sr 5.583 -2.791 4.049
Sr 8.374 0.000 4.050
Sr 5.583 -2.830 0.037
Ti 0.000 0.000 2.102
Ti 2.791 2.792 2.088
Ti 2.791 2.792 6.041
Ti 2.791 -2.792 2.088
Ti 2.791 -2.792 6.041
Ti 5.583 0.000 2.080
Ti 5.583 0.000 6.047
Mn 0.000 0.000 5.993
O 0.000 0.000 3.978
O 0.000 0.000 7.891
O 2.791 2.792 3.945
O 2.791 2.792 7.921
O 4.204 4.181 1.991
O 4.212 4.192 5.913
O 6.954 4.192 5.913
O 6.961 4.181 1.991
O 4.191 1.404 5.899
O 4.198 1.412 1.971
O 6.968 1.412 1.971
O 6.975 1.404 5.899
O 2.791 -2.792 3.945
O 2.791 -2.792 7.921
O 5.583 0.000 3.933
O 5.583 0.000 7.914
O 4.191 -1.404 5.899
O 4.198 -1.412 1.971
O 6.968 -1.412 1.971
O 6.975 -1.404 5.899
O 4.204 -4.181 1.991
O 4.212 -4.192 5.913
O 6.954 -4.192 5.913
O 6.961 -4.181 1.991
```

Values from the calculation:
* magnetization: 3.0 μB per formula unit
* calculated volume: 499.0 Å³/cell
* DFT total energy: -314.8 eV for the cell shown
* SG: Cmm2 (35)
* theoretical density: 5.24 g cm⁻³


# 7
Below is an optimized crystal structure of BaSr7Ti6Mn2O24, with properties calculated at the PBE with a Hubbard U level.

Geometry as extended XYZ:
```
40
Lattice="7.913 0.000 0.000 0.000 5.564 5.563 0.000 -5.564 5.563" Properties=species:S:1:pos:R:3 pbc="T T T"
Ba 0.000 0.000 0.000
Sr 0.000 -2.818 2.826
Sr 0.000 0.000 5.630
Sr 0.000 2.818 2.826
Sr 3.957 -2.819 2.826
Sr 3.957 2.819 2.826
Sr 3.957 0.000 5.637
Sr 3.957 0.000 11.120
Ti 1.989 -2.777 5.619
Ti 1.989 0.000 2.857
Ti 1.989 2.777 5.619
Ti 5.924 -2.777 5.619
Ti 5.924 0.000 2.857
Ti 5.924 2.777 5.619
Mn 1.988 0.000 8.363
Mn 5.925 0.000 8.363
O 0.000 0.000 2.821
O 0.000 -2.732 5.564
O 0.000 2.732 5.564
O 0.000 0.000 8.299
O 1.989 -1.370 6.968
O 1.989 1.370 6.968
O 1.994 -1.384 4.183
O 1.994 1.384 4.183
O 2.001 -4.146 6.968
O 2.005 -1.399 9.711
O 2.005 1.399 9.711
O 2.001 4.146 6.968
O 3.957 0.000 2.779
O 3.957 -2.759 5.568
O 3.957 2.759 5.568
O 3.957 0.000 8.340
O 5.912 -4.146 6.968
O 5.908 -1.399 9.711
O 5.908 1.399 9.711
O 5.912 4.146 6.968
O 5.919 -1.384 4.183
O 5.919 1.384 4.183
O 5.924 -1.370 6.968
O 5.924 1.370 6.968
```

Values from the calculation:
* magnetization: 6.4 μB per formula unit
* calculated volume: 489.9 Å³/cell
* DFT total energy: -309.2 eV for the cell shown
* SG: Amm2 (38)
* theoretical density: 5.19 g cm⁻³


# 8
Below is an optimized crystal structure of BaSr7Ti5Mn3O24, with properties calculated at the PBE with a Hubbard U level.

Geometry as extended XYZ:
```
40
Lattice="5.581 -5.578 0.000 5.581 5.578 0.000 -0.003 0.000 7.831" Properties=species:S:1:pos:R:3 pbc="T T T"
Ba 0.000 0.000 0.000
Sr 2.772 2.767 0.011
Sr 8.351 -2.806 3.847
Sr 5.530 0.000 0.005
Sr 2.772 -2.767 0.011
Sr 5.531 0.000 3.845
Sr 8.351 2.806 3.847
Sr 11.151 0.000 3.844
Ti 5.527 2.780 5.827
Ti 2.755 0.000 5.820
Ti 8.296 0.000 5.834
Ti 5.527 -2.780 5.827
Ti 8.323 0.000 1.935
Mn 2.794 0.000 1.931
Mn 5.569 2.780 1.934
Mn 5.569 -2.780 1.934
O 1.437 1.413 5.818
O 4.180 4.143 1.963
O 4.195 4.162 5.820
O 4.198 1.390 1.931
O 2.818 0.000 3.872
O 2.819 0.000 7.824
O 5.585 2.763 3.871
O 4.214 1.380 5.845
O 5.593 2.751 7.825
O 6.995 4.148 1.982
O 1.437 -1.413 5.818
O 6.959 1.394 1.940
O 4.198 -1.390 1.931
O 4.214 -1.380 5.845
O 6.995 1.391 5.839
O 4.180 -4.143 1.963
O 5.585 -2.763 3.871
O 5.593 -2.751 7.825
O 6.959 -1.394 1.940
O 8.349 0.000 7.814
O 4.195 -4.162 5.820
O 8.374 0.000 3.882
O 6.995 -1.391 5.839
O 6.995 -4.148 1.982
```

Values from the calculation:
* magnetization: 9.6 μB per formula unit
* calculated volume: 487.6 Å³/cell
* DFT total energy: -303.3 eV for the cell shown
* SG: Cm (8)
* theoretical density: 5.24 g cm⁻³


# 9
Below is an optimized crystal structure of BaTaMnO5, with properties calculated at the PBE with a Hubbard U level.

Geometry as extended XYZ:
```
16
Lattice="3.369 -4.921 0.000 3.369 4.921 0.000 -2.604 0.000 7.185" Properties=species:S:1:pos:R:3 pbc="T T T"
Ba 1.416 3.222 5.388
Ba 2.718 -3.222 1.796
Ta 3.369 0.000 0.000
Ta 2.067 0.000 3.592
Mn 2.718 3.165 1.796
Mn 1.416 -3.165 5.388
O -1.103 0.507 6.616
O 1.840 1.911 2.958
O 0.199 -0.507 3.023
O 3.596 1.911 0.634
O 1.416 0.538 5.388
O 2.718 -0.538 1.796
O 0.538 -1.911 6.550
O 3.935 0.507 4.161
O 2.294 -1.911 4.226
O 5.237 -0.507 0.569
```

Values from the calculation:
* magnetization: 4.0 μB per formula unit
* calculated volume: 238.2 Å³/cell
* DFT total energy: -131.5 eV for the cell shown
* SG: C2/c (15)
* theoretical density: 6.32 g cm⁻³


# 10
Below is an optimized crystal structure of Ba3Ta2MnO9, with properties calculated at the PBE with a Hubbard U level.

Geometry as extended XYZ:
```
15
Lattice="5.890 0.000 0.000 -2.945 5.101 0.000 0.000 0.000 7.249" Properties=species:S:1:pos:R:3 pbc="T T T"
Ba 0.000 0.000 0.000
Ba 0.000 3.400 4.809
Ba 2.945 1.700 2.441
Ta 0.000 3.400 1.252
Ta 2.945 1.700 5.998
Mn 0.000 0.000 3.625
O -1.472 2.550 0.000
O 0.000 1.778 2.319
O -1.405 4.212 2.319
O 1.540 0.889 4.931
O 2.945 0.000 0.000
O 1.472 2.550 0.000
O 1.405 4.212 2.319
O 4.350 0.889 4.931
O 2.945 3.323 4.931
```

Values from the calculation:
* magnetization: 5.0 μB per formula unit
* calculated volume: 217.8 Å³/cell
* DFT total energy: -124.4 eV for the cell shown
* SG: P-3m1 (164)
* theoretical density: 7.42 g cm⁻³


# 11
Below is an optimized crystal structure of BaTaMnO6, with properties calculated at the PBE with a Hubbard U level.

Geometry as extended XYZ:
```
9
Lattice="5.247 0.000 0.000 -2.624 4.544 0.000 0.000 0.000 5.793" Properties=species:S:1:pos:R:3 pbc="T T T"
Ba 0.000 0.000 0.000
Ta 2.624 1.515 2.896
Mn 0.000 3.030 2.896
O -0.994 1.816 4.013
O -1.548 2.775 1.780
O 0.994 1.816 1.780
O -0.554 4.497 4.013
O 1.548 2.775 4.013
O 0.554 4.497 1.780
```

Values from the calculation:
* magnetization: 2.0 μB per formula unit
* calculated volume: 138.2 Å³/cell
* DFT total energy: -70.7 eV for the cell shown
* SG: P312 (149)
* theoretical density: 5.64 g cm⁻³


# 12
Below is an optimized crystal structure of Ba3TaMn2O9, with properties calculated at the PBE with a Hubbard U level.

Geometry as extended XYZ:
```
15
Lattice="5.749 0.000 0.000 -2.874 4.979 0.000 0.000 0.000 7.045" Properties=species:S:1:pos:R:3 pbc="T T T"
Ba 0.000 0.000 0.000
Ba 0.000 3.319 4.759
Ba 2.874 1.660 2.285
Ta 0.000 0.000 3.522
Mn 0.000 3.319 1.134
Mn 2.874 1.660 5.911
O -1.437 2.489 0.000
O 0.000 1.644 2.363
O -1.450 4.157 2.363
O 1.424 0.822 4.682
O 2.874 0.000 0.000
O 1.437 2.489 0.000
O 1.450 4.157 2.363
O 4.325 0.822 4.682
O 2.874 3.334 4.682
```

Values from the calculation:
* magnetization: 7.0 μB per formula unit
* calculated volume: 201.6 Å³/cell
* DFT total energy: -113.4 eV for the cell shown
* SG: P-3m1 (164)
* theoretical density: 6.97 g cm⁻³